1.
10
Lattice="-3.713 -5.666 -5.150 6.316 0.969 -5.620 2.099 -3.044 1.835" Properties=species:S:1:pos:R:3 comment="BaGa2Bi2 | Alexandria via LeMat-Bulk | GGA-PBE | relaxed" formation_energy_kj_per_mol_atoms=-28.5 magnetic_moment_mub_per_atom=0.00 pbc="T T T"
Bi 0.088 -5.970 -5.360
Ga 0.625 -4.401 -8.015
Ba 1.302 -2.349 -5.385
Bi 0.760 -3.318 -1.731
Bi 4.615 -1.771 -3.575
Ga 1.979 -0.296 -2.755
Ga -1.550 -3.385 -3.842
Ba 0.000 0.000 0.000
Bi 3.942 -4.423 -7.204
Ga 4.154 -1.312 -6.928

=====

2.
5
Lattice="-1.286 -4.155 -3.897 -2.067 -3.336 4.238 -5.299 2.338 -0.744" Properties=species:S:1:pos:R:3 comment="BaGa2GeBi | Alexandria via LeMat-Bulk | GGA-PBE | relaxed" formation_energy_kj_per_mol_atoms=93.4 magnetic_moment_mub_per_atom=0.00 pbc="T T T"
Bi -4.326 -2.576 -0.202
Ga -0.643 -2.077 -1.949
Ga -2.650 1.169 -0.372
Ge -1.033 -1.668 2.119
Ba 0.000 0.000 0.000

=====

3.
5
Lattice="6.284 0.000 0.000 0.000 5.774 0.000 0.000 0.000 6.284" Properties=species:S:1:pos:R:3 comment="BaHfGaBi2 | Alexandria via LeMat-Bulk | GGA-PBE | relaxed" formation_energy_kj_per_mol_atoms=139.0 magnetic_moment_mub_per_atom=0.00 pbc="T T T"
Ba 0.000 0.000 0.000
Bi 3.142 0.000 0.000
Bi 0.000 0.000 3.142
Hf 0.000 2.887 0.000
Ga 3.142 2.887 3.142

=====

4.
9
Lattice="-7.443 0.235 -0.805 3.855 -6.381 -0.720 3.278 0.733 6.694" Properties=species:S:1:pos:R:3 comment="Ba2GaHg4Bi2 | Alexandria via LeMat-Bulk | GGA-PBE | relaxed" formation_energy_kj_per_mol_atoms=-39.7 magnetic_moment_mub_per_atom=0.00 pbc="T T T"
Bi 5.234 -4.144 4.383
Hg -2.155 -1.439 1.213
Ba -0.299 -0.927 4.438
Hg 3.695 -4.403 1.341
Ba -0.010 -4.484 0.730
Hg 1.845 -3.973 3.956
Ga 0.000 0.000 0.000
Hg 3.438 -1.244 4.633
Bi 1.899 -1.504 1.591